1.
Compound: LaGd2Al
Source: the Alexandria database
Functional: PBE-GGA
Structure: optimized geometry

Unit cell a=3.5722 b=3.5722 c=9.2096 alpha=90.00 beta=90.00 gamma=90.00
With the nearest neighbours (Å) after each atom.
Fractional positions:
Gd 0.0000 0.0000 0.7927  4 Al 3.17
Gd 0.0000 0.0000 0.2073  4 Al 3.17
Al 0.5000 0.5000 0.0000  8 Gd 3.17
La 0.5000 0.5000 0.5000  4 La 3.57, 8 Gd 3.69

Computed properties:
- crystal system = tetragonal
- density (g cm⁻³) = 6.79

2.
Compound: LaGd2Al
Source: the Alexandria database
Functional: PBE-GGA
Structure: optimized geometry

Unit cell a=5.4300 b=5.4300 c=5.4300 alpha=60.00 beta=60.00 gamma=60.00
With the nearest neighbours (Å) after each atom.
Fractional positions:
Gd 0.2500 0.2500 0.2500  4 La 3.33, 4 Al 3.33
Gd 0.7500 0.7500 0.7500  4 Al 3.33, 4 La 3.33
La 0.0000 0.0000 0.0000  8 Gd 3.33
Al 0.5000 0.5000 0.5000  8 Gd 3.33

Computed properties:
- crystal system = cubic
- density (g cm⁻³) = 7.05

Q: Which of them is the most stable? A: 1.

1.
Compound: LiGdAl2
Source: the Alexandria database
Functional: PBE-GGA
Structure: optimized geometry

Unit cell a=4.8783 b=4.8783 c=4.8783 alpha=60.00 beta=60.00 gamma=60.00
With the nearest neighbours (Å) after each atom.
Fractional positions:
Gd 0.0000 0.0000 0.0000  8 Al 2.99
Li 0.5000 0.5000 0.5000  8 Al 2.99
Al 0.7500 0.7500 0.7500  4 Gd 2.99, 4 Li 2.99
Al 0.2500 0.2500 0.2500  4 Li 2.99, 4 Gd 2.99

Computed properties:
- crystal system = cubic
- density (g cm⁻³) = 4.41

2.
Compound: LiGdAl2
Source: the Alexandria database
Functional: PBE-GGA
Structure: optimized geometry

Unit cell a=3.3396 b=3.3396 c=7.1149 alpha=90.00 beta=90.00 gamma=90.00
With the nearest neighbours (Å) after each atom.
Fractional positions:
Gd 0.5000 0.5000 0.5000  8 Al 3.19, 4 Gd 3.34, 2 Li 3.56
Li 0.5000 0.5000 0.0000  8 Al 2.75
Al 0.0000 0.0000 0.8022  4 Li 2.75, 1 Al 2.82
Al 0.0000 0.0000 0.1978  4 Li 2.75, 1 Al 2.82

Computed properties:
- crystal system = tetragonal
- density (g cm⁻³) = 4.57

3.
Compound: LiGdAl2
Source: the Alexandria database
Functional: PBE-GGA
Structure: optimized geometry

Unit cell a=4.4685 b=4.2985 c=4.2985 alpha=90.00 beta=90.00 gamma=90.00
With the nearest neighbours (Å) after each atom.
Fractional positions:
Al 0.0000 0.5000 0.0000  4 Al 3.04, 4 Gd 3.10, 4 Li 3.10
Al 0.0000 0.0000 0.5000  4 Al 3.04, 4 Gd 3.10, 4 Li 3.10
Gd 0.5000 0.0000 0.0000  4 Li 3.04, 8 Al 3.10
Li 0.5000 0.5000 0.5000  4 Gd 3.04, 8 Al 3.10

Computed properties:
- crystal system = tetragonal
- density (g cm⁻³) = 4.39

Q: Which of them is the most stable? A: 2.